Here is an optimized crystal structure of Pr2TmCd2 from the Alexandria database. Energies are from PBE.

Computed properties:
The energy of formation is -0.234 eV/atom. The calculation puts the uncorrected energy at -17.03 eV/f.u. The total moment is 0.2 μB per cell. The energy above the lowest structure with this stoichiometry comes out at 0.000 eV/atom.

Cell and atoms, written as POSCAR:
```
Pr2TmCd2
1.0
-2.152 1.770 2.534
-4.131 -3.217 -1.260
5.251 -10.186 8.786
Tm Cd Pr
2 4 4
direct
0.850 0.750 0.701
0.150 0.250 0.299
0.638 0.750 0.276
0.560 0.250 0.119
0.362 0.250 0.724
0.440 0.750 0.881
0.044 0.750 0.087
0.233 0.750 0.468
0.767 0.250 0.532
0.956 0.250 0.913
```